--- A ---
NbBrNF2: optimized geometry, PBE-GGA.

Structure (extended XYZ):
```
5
Lattice="4.188 0.000 0.000 0.000 4.188 0.000 0.000 0.000 4.115" Properties=species:S:1:pos:R:3 pbc="T T T"
F 0.000 2.094 0.000
F 2.094 0.000 0.000
N 0.000 0.000 2.058
Br 2.094 2.094 2.058
Nb 0.000 0.000 0.000
```

Total magnetic moment = 0.007 μB per formula unit

--- B ---
NbBrNF2: optimized geometry, PBE-GGA.

Structure (extended XYZ):
```
5
Lattice="4.884 0.000 0.000 0.000 4.884 0.000 0.000 0.000 3.666" Properties=species:S:1:pos:R:3 pbc="T T T"
F 2.442 0.000 0.000
F 0.000 2.442 0.000
Nb 2.442 2.442 1.833
N 0.000 0.000 1.833
Br 0.000 0.000 0.000
```

Total magnetic moment = 3.092 μB per formula unit

A wins, 1947 meV/atom ahead of the next structure.